DFT (PBE) results for crystalline CuAg2P at its relaxed geometry.

Geometry as extended XYZ:
```
4
Lattice="3.9647 0.0000 0.0000 0.0000 3.9647 0.0000 0.0000 0.0000 3.9993" Properties=species:S:1:pos:R:3 pbc="T T T"
Cu 0.0000 0.0000 0.0000
Ag 0.0000 1.9823 1.9997
Ag 1.9823 0.0000 1.9997
P 1.9823 1.9823 0.0000
```

Calculated values
The calculation puts the density of states at the Fermi level at 0.255 states/eV/atom. Its final energy is -3.57 eV per atom. For the formation energy, the calculation gives 232 meV per atom.


DFT (PBE) results for crystalline CuAg2P at its relaxed geometry.

Geometry as extended XYZ:
```
4
Lattice="2.9170 0.0000 0.0000 0.0000 3.3807 0.0000 0.0000 0.0000 6.4845" Properties=species:S:1:pos:R:3 pbc="T T T"
Cu 0.0000 0.0000 0.0000
Ag 0.0000 0.0000 2.8685
Ag 1.4585 1.6903 4.7467
P 1.4585 1.6903 0.9946
```

Calculated values
The calculation puts the density of states at the Fermi level at 0.277 states/eV/atom. Its final energy is -3.63 eV per atom. For the formation energy, the calculation gives 170 meV per atom.


DFT (PBE) results for crystalline CuAgP2 at its relaxed geometry.

Geometry as extended XYZ:
```
4
Lattice="5.6348 -1.4925 0.0000 5.6348 1.4925 0.0000 -0.6960 0.0000 3.9084" Properties=species:S:1:pos:R:3 pbc="T T T"
Cu 0.0000 0.0000 0.0000
Ag 7.4846 0.0000 3.5243
P 2.8553 0.0000 1.6757
P 5.0760 0.0000 1.9104
```

Calculated values
The calculation puts the density of states at the Fermi level at 0.197 states/eV/atom. Its final energy is -4.23 eV per atom. For the formation energy, the calculation gives 213 meV per atom.


DFT (PBE) results for crystalline CuAgP2 at its relaxed geometry.

Geometry as extended XYZ:
```
4
Lattice="3.4259 0.0000 0.0000 0.0000 3.4259 0.0000 0.0000 0.0000 5.4119" Properties=species:S:1:pos:R:3 pbc="T T T"
Cu 0.0000 0.0000 0.0000
Ag 0.0000 0.0000 2.7059
P 1.7129 1.7129 1.0601
P 1.7129 1.7129 4.3517
```

Calculated values
The calculation puts the density of states at the Fermi level at 0.303 states/eV/atom. Its final energy is -4.19 eV per atom. For the formation energy, the calculation gives 255 meV per atom.


Number 2 is which compound? CuAg2P


Which formula does entry 4 have? CuAgP2


Please write out number 1 again, unchanged.
DFT (PBE) results for crystalline CuAg2P at its relaxed geometry.

Geometry as extended XYZ:
```
4
Lattice="3.9647 0.0000 0.0000 0.0000 3.9647 0.0000 0.0000 0.0000 3.9993" Properties=species:S:1:pos:R:3 pbc="T T T"
Cu 0.0000 0.0000 0.0000
Ag 0.0000 1.9823 1.9997
Ag 1.9823 0.0000 1.9997
P 1.9823 1.9823 0.0000
```

Calculated values
The calculation puts the density of states at the Fermi level at 0.255 states/eV/atom. Its final energy is -3.57 eV per atom. For the formation energy, the calculation gives 232 meV per atom.